Record 1
A plane-wave DFT calculation with GGA-PBE was carried out for a geometry-optimized AlSi4Se structure.

Computed properties:
formation energy (no corrections) = 0.476 eV per atom
size of the total moment = 0.00 μB per atom
space group = No. 216

a = 5.1821 Å, b = 5.1821 Å, c = 5.1821 Å
α = 60.00°, β = 60.00°, γ = 60.00°
With the nearest neighbours (Å) after each atom.
Fractional coordinates of all 6 atoms:
Si  0.6250  0.6250  0.6250  6 Si 2.59
Se  0.0000  0.0000  0.0000  12 Si 3.04, 4 Al 3.17
Al  0.2500  0.2500  0.2500  12 Si 3.04, 4 Se 3.17
Si  0.6250  0.6250  0.1251  6 Si 2.59
Si  0.6250  0.1251  0.6250  6 Si 2.59
Si  0.1251  0.6250  0.6250  6 Si 2.59

Record 2
A plane-wave DFT calculation with GGA-PBE was carried out for a geometry-optimized Al2SiTcSe structure.

Computed properties:
formation energy (no corrections) = 1.103 eV per atom
size of the total moment = 0.00 μB per atom
space group = No. 123

a = 4.8619 Å, b = 4.8619 Å, c = 4.5516 Å
α = 90.00°, β = 90.00°, γ = 90.00°
With the nearest neighbours (Å) after each atom.
Fractional coordinates of all 5 atoms:
Tc  0.0000  0.0000  0.5000  2 Se 2.28
Se  0.0000  0.0000  0.0000  2 Tc 2.28, 4 Al 2.43
Al  0.5000  0.0000  0.0000  2 Se 2.43
Si  0.5000  0.5000  0.5000  8 Al 3.33, 4 Tc 3.44
Al  0.0000  0.5000  0.0000  2 Se 2.43

Record 3
A plane-wave DFT calculation with GGA-PBE was carried out for a geometry-optimized AlTl2SiSe4 structure.

Computed properties:
formation energy (no corrections) = -0.495 eV per atom
size of the total moment = 0.00 μB per atom
space group = No. 70

a = 6.0350 Å, b = 7.1719 Å, c = 13.4190 Å
α = 84.57°, β = 77.00°, γ = 65.12°
With the nearest neighbours (Å) after each atom.
Fractional coordinates of all 16 atoms:
Se  0.8623  0.7034  0.5960  1 Si 2.32, 1 Al 2.41
Al  0.0000  0.0000  0.0000  4 Se 2.41
Tl  0.8578  0.0000  0.2843  2 Se 3.21
Se  0.4343  0.7034  0.4040  1 Si 2.32, 1 Al 2.41
Se  0.5417  0.2966  0.5960  1 Si 2.32, 1 Al 2.41
Se  0.8877  0.7966  0.9040  1 Si 2.32, 1 Al 2.41
Tl  0.1422  0.0000  0.7157  2 Se 3.21
Al  0.7500  0.5000  0.5000  4 Se 2.41
Se  0.5883  0.2034  0.0960  1 Si 2.32, 1 Al 2.41
Tl  0.6078  0.5000  0.7843  2 Se 3.21
Se  0.1617  0.2966  0.4040  1 Si 2.32, 1 Al 2.41
Se  0.2083  0.2034  0.9040  1 Si 2.32, 1 Al 2.41
Si  0.5000  0.0000  0.0000  4 Se 2.32
Tl  0.8922  0.5000  0.2157  2 Se 3.21
Se  0.3157  0.7966  0.0960  1 Si 2.32, 1 Al 2.41
Si  0.2500  0.5000  0.5000  4 Se 2.32